(1)
TaCrP | GGA-PBE | optimized geometry

```
data_TaCrP
_symmetry_space_group_name_H-M 'P n m a'
_symmetry_Int_Tables_number 62
_cell_length_a 6.243
_cell_length_b 3.537
_cell_length_c 7.363
_cell_angle_alpha 90.00
_cell_angle_beta 90.00
_cell_angle_gamma 90.00
loop_
_symmetry_equiv_pos_as_xyz
'x,y,z'
'-x,-y,-z'
'-x+1/2,-y,z+1/2'
'x+1/2,y,-z+1/2'
'x+1/2,-y+1/2,-z+1/2'
'-x+1/2,y+1/2,z+1/2'
'-x,y+1/2,-z'
'x,-y+1/2,z'
loop_
_atom_site_label
_atom_site_type_symbol
_atom_site_fract_x
_atom_site_fract_y
_atom_site_fract_z
_atom_site_occupancy
Ta1 Ta 0.030 0.250 0.172 1
Cr1 Cr 0.144 0.250 0.560 1
P1 P 0.229 0.750 0.368 1
```

(2)
TaCr2P2 | GGA-PBE | optimized geometry

```
data_TaCr2P2
_symmetry_space_group_name_H-M 'P 4/m b m'
_symmetry_Int_Tables_number 127
_symmetry_space_group_name_Hall '-P 4 2ab'
_cell_length_a 6.722
_cell_length_b 6.722
_cell_length_c 2.869
_cell_angle_alpha 90.00
_cell_angle_beta 90.00
_cell_angle_gamma 90.00
loop_
_atom_site_label
_atom_site_type_symbol
_atom_site_fract_x
_atom_site_fract_y
_atom_site_fract_z
_atom_site_occupancy
Ta1 Ta 0.000 0.000 0.000 1
Cr1 Cr 0.139 0.361 0.500 1
P1 P 0.150 0.650 0.000 1
```

(3)
TaCrP | GGA-PBE | optimized geometry

```
data_TaCrP
_symmetry_space_group_name_H-M 'I 4 m m'
_symmetry_Int_Tables_number 107
_symmetry_space_group_name_Hall 'I 4 -2'
_cell_length_a 3.025
_cell_length_b 3.025
_cell_length_c 9.026
_cell_angle_alpha 90.00
_cell_angle_beta 90.00
_cell_angle_gamma 90.00
loop_
_atom_site_label
_atom_site_type_symbol
_atom_site_fract_x
_atom_site_fract_y
_atom_site_fract_z
_atom_site_occupancy
Ta1 Ta 0.000 0.000 0.000 1
Cr1 Cr 0.000 0.000 0.696 1
P1 P 0.000 0.000 0.308 1
```

(4)
TaCrP | GGA-PBE | optimized geometry

```
data_TaCrP
_symmetry_space_group_name_H-M 'F -4 3 m'
_symmetry_Int_Tables_number 216
_symmetry_space_group_name_Hall 'F -4 2 3'
_cell_length_a 5.889
_cell_length_b 5.889
_cell_length_c 5.889
_cell_angle_alpha 90.00
_cell_angle_beta 90.00
_cell_angle_gamma 90.00
loop_
_atom_site_label
_atom_site_type_symbol
_atom_site_fract_x
_atom_site_fract_y
_atom_site_fract_z
_atom_site_occupancy
Ta1 Ta 0.000 0.000 0.000 1
Cr1 Cr 0.250 0.250 0.250 1
P1 P 0.250 0.250 0.750 1
```

(5)
TaCrP4 | GGA-PBE | optimized geometry

```
data_TaCrP4
_symmetry_space_group_name_H-M 'F -4 3 m'
_symmetry_Int_Tables_number 216
_symmetry_space_group_name_Hall 'F -4 2 3'
_cell_length_a 6.998
_cell_length_b 6.998
_cell_length_c 6.998
_cell_angle_alpha 90.00
_cell_angle_beta 90.00
_cell_angle_gamma 90.00
loop_
_atom_site_label
_atom_site_type_symbol
_atom_site_fract_x
_atom_site_fract_y
_atom_site_fract_z
_atom_site_occupancy
Ta1 Ta 0.000 0.000 0.000 1
Cr1 Cr 0.250 0.250 0.750 1
P1 P 0.125 0.125 0.375 1
```

(6)
TaCr2P | GGA-PBE | optimized geometry

```
data_TaCr2P
_symmetry_space_group_name_H-M 'P n m a'
_symmetry_Int_Tables_number 62
_cell_length_a 12.090
_cell_length_b 7.083
_cell_length_c 4.907
_cell_angle_alpha 90.00
_cell_angle_beta 90.00
_cell_angle_gamma 90.00
loop_
_symmetry_equiv_pos_as_xyz
'x,y,z'
'-x,-y,-z'
'-x+1/2,-y,z+1/2'
'x+1/2,y,-z+1/2'
'x+1/2,-y+1/2,-z+1/2'
'-x+1/2,y+1/2,z+1/2'
'-x,y+1/2,-z'
'x,-y+1/2,z'
loop_
_atom_site_label
_atom_site_type_symbol
_atom_site_fract_x
_atom_site_fract_y
_atom_site_fract_z
_atom_site_occupancy
Ta1 Ta 0.113 0.250 0.213 1
Ta2 Ta 0.135 0.750 0.988 1
Cr1 Cr 0.034 0.047 0.746 1
Cr2 Cr 0.215 0.545 0.470 1
P1 P 0.069 0.750 0.507 1
P2 P 0.179 0.250 0.710 1
```

(7)
TaCrP | GGA-PBE | optimized geometry

```
data_TaCrP
_symmetry_space_group_name_H-M 'P 3 m 1'
_symmetry_Int_Tables_number 156
_cell_length_a 4.0054
_cell_length_b 4.0054
_cell_length_c 3.0576
_cell_angle_alpha 90.00
_cell_angle_beta 90.00
_cell_angle_gamma 120.00
loop_
_symmetry_equiv_pos_as_xyz
'x,y,z'
'-y,x-y,z'
'-x+y,-x,z'
'-y,-x,z'
'-x+y,y,z'
'x,x-y,z'
loop_
_atom_site_label
_atom_site_type_symbol
_atom_site_fract_x
_atom_site_fract_y
_atom_site_fract_z
_atom_site_occupancy
Ta1 Ta 0.0000 0.0000 0.0000 1
Cr1 Cr 0.6667 0.3333 0.5966 1
P1 P 0.3333 0.6667 0.5704 1
```

(8)
TaCr2P | GGA-PBE | optimized geometry

```
data_TaCr2P
_symmetry_space_group_name_H-M 'C 1 2/m 1'
_symmetry_Int_Tables_number 12
_cell_length_a 5.179
_cell_length_b 8.312
_cell_length_c 2.801
_cell_angle_alpha 90.00
_cell_angle_beta 117.23
_cell_angle_gamma 90.00
loop_
_symmetry_equiv_pos_as_xyz
'x,y,z'
'-x,-y,-z'
'-x,y,-z'
'x,-y,z'
'x+1/2,y+1/2,z'
'-x+1/2,-y+1/2,-z'
'-x+1/2,y+1/2,-z'
'x+1/2,-y+1/2,z'
loop_
_atom_site_label
_atom_site_type_symbol
_atom_site_fract_x
_atom_site_fract_y
_atom_site_fract_z
_atom_site_occupancy
Ta1 Ta 0.000 0.000 0.000 1
Cr1 Cr 0.250 0.250 0.500 1
P1 P 0.000 0.500 0.000 1
```

Record order is preserved below.
DFT formation energy: -0.674; -0.359; -0.210; 0.499; 0.595; -0.460; -0.221; 0.104 eV per atom